No. 1
Entry from the Alexandria database: a relaxed KCdRu2 crystal (GGA-PBEsol).

Lattice parameters (Å, degrees): 10.422 10.422 10.422 15.36 15.36 15.36
Sites, in units of the cell vectors:
K 0.000 0.000 0.000
Cd 0.500 0.500 0.500
Ru 0.242 0.242 0.242
Ru 0.758 0.758 0.758

Computed properties:
Calculated density   8486 kg/m3
Energy relative to the elements   0.917 eV/atom
Total magnetic moment   0.0 Bohr magnetons per cell

***

No. 2
Entry from the Alexandria database: a relaxed K2CdRu crystal (GGA-PBEsol).

Lattice parameters (Å, degrees): 11.903 11.903 11.903 14.52 14.52 14.52
Sites, in units of the cell vectors:
K 0.242 0.242 0.242
K 0.758 0.758 0.758
Cd 0.000 0.000 0.000
Ru 0.500 0.500 0.500

Computed properties:
Calculated density   5250 kg/m3
Energy relative to the elements   0.942 eV/atom
Total magnetic moment   0.9 Bohr magnetons per cell